Density functional theory data (PBE) for crystalline In3SeI2 at its relaxed geometry.

Properties
- energy (eV per atom) = -2.838
- total moment (μB/atom) = 0.000
- energy relative to the elements, uncorrected (meV per atom) = -371
- mass density (g/cm³) = 5.3
- calculated volume (A^3/atom) = 35.51

Cell: 6.556 8.919 8.300 Å, 105.68 113.26 90.00°
Sites, in units of the cell vectors:
In 0.499 0.250 0.000
In 0.501 0.750 0.000
In 0.134 0.067 0.267
In 0.866 0.433 0.733
In 0.134 0.567 0.267
In 0.866 0.933 0.733
Se 0.000 0.750 0.000
Se 0.000 0.250 0.000
I 0.679 0.590 0.358
I 0.679 0.090 0.358
I 0.321 0.910 0.642
I 0.321 0.410 0.642

Density functional theory data (PBE) for crystalline In3SeI at its relaxed geometry.

Properties
- energy (eV per atom) = -2.678
- total moment (μB/atom) = 0.000
- energy relative to the elements, uncorrected (meV per atom) = -28
- mass density (g/cm³) = 4.3
- calculated volume (A^3/atom) = 42.52

Cell: 5.968 5.968 5.968 Å, 90.00 90.00 90.00°
Sites, in units of the cell vectors:
I 0.500 0.500 0.500
Se 0.000 0.000 0.000
In 0.000 0.500 0.000
In 0.000 0.000 0.500
In 0.500 0.000 0.000

Density functional theory data (PBE) for crystalline InSnSeI at its relaxed geometry.

Properties
- energy (eV per atom) = -3.330
- total moment (μB/atom) = 0.000
- energy relative to the elements, uncorrected (meV per atom) = -386
- mass density (g/cm³) = 5.3
- calculated volume (A^3/atom) = 34.48

Cell: 4.320 4.318 9.575 Å, 76.97 63.17 59.94°
Sites, in units of the cell vectors:
In 0.778 0.935 0.568
Sn 0.338 0.933 0.009
Se 0.848 0.266 0.833
I 0.720 0.601 0.293

Density functional theory data (PBE) for crystalline InTeSeI2 at its relaxed geometry.

Properties
- energy (eV per atom) = -2.384
- total moment (μB/atom) = 0.000
- energy relative to the elements, uncorrected (meV per atom) = 109
- mass density (g/cm³) = 4.7
- calculated volume (A^3/atom) = 40.92

Cell: 5.978 5.978 5.724 Å, 90.00 90.00 90.00°
Sites, in units of the cell vectors:
I 0.000 0.500 0.000
I 0.500 0.000 0.000
Te 0.000 0.000 0.500
Se 0.000 0.000 0.000
In 0.500 0.500 0.500

Density functional theory data (PBE) for crystalline InTeSeI2 at its relaxed geometry.

Properties
- energy (eV per atom) = -2.070
- total moment (μB/atom) = 0.653
- energy relative to the elements, uncorrected (meV per atom) = 423
- mass density (g/cm³) = 4.6
- calculated volume (A^3/atom) = 41.64

Cell: 5.960 5.960 5.862 Å, 90.00 90.00 90.00°
Each line ends with the local moment (μB).
Sites, in units of the cell vectors:
I 0.000 0.500 0.000  0.12
I 0.500 0.000 0.000  0.12
Te 0.000 0.000 0.500  0.53
Se 0.500 0.500 0.500  1.19
In 0.000 0.000 0.000  -0.02

Density functional theory data (PBE) for crystalline VInSe2I at its relaxed geometry.

Properties
- energy (eV per atom) = -4.338
- total moment (μB/atom) = 0.247
- energy relative to the elements, uncorrected (meV per atom) = -263
- mass density (g/cm³) = 5.3
- calculated volume (A^3/atom) = 28.01

Cell: 4.868 5.910 4.868 Å, 90.00 90.00 90.00°
Each line ends with the local moment (μB).
Sites, in units of the cell vectors:
I 0.000 0.500 0.000  -0.03
V 0.000 0.000 0.000  1.56
Se 0.000 0.000 0.500  -0.12
Se 0.500 0.000 0.000  -0.23
In 0.500 0.500 0.500  0.00

Density functional theory data (PBE) for crystalline VInSeI2 at its relaxed geometry.

Properties
- energy (eV per atom) = -3.150
- total moment (μB/atom) = 0.732
- energy relative to the elements, uncorrected (meV per atom) = 538
- mass density (g/cm³) = 4.5
- calculated volume (A^3/atom) = 36.60

Cell: 5.932 5.201 5.932 Å, 90.00 90.00 90.00°
Each line ends with the local moment (μB).
Sites, in units of the cell vectors:
I 0.000 0.000 0.500  -0.03
I 0.500 0.000 0.000  -0.02
V 0.500 0.500 0.500  3.20
Se 0.000 0.500 0.000  -0.09
In 0.000 0.000 0.000  0.02

Density functional theory data (PBE) for crystalline InSi2I8 at its relaxed geometry.

Properties
- energy (eV per atom) = -2.622
- total moment (μB/atom) = 0.000
- energy relative to the elements, uncorrected (meV per atom) = -259
- mass density (g/cm³) = 3.3
- calculated volume (A^3/atom) = 54.10

Cell: 8.121 8.938 8.938 Å, 72.02 77.66 77.66°
Sites, in units of the cell vectors:
In 0.000 0.000 0.000
Si 0.695 0.794 0.794
Si 0.305 0.206 0.206
I 0.223 0.319 0.930
I 0.777 0.070 0.681
I 0.372 0.823 0.823
I 0.628 0.177 0.177
I 0.223 0.930 0.319
I 0.777 0.681 0.070
I 0.856 0.617 0.617
I 0.144 0.383 0.383

- What is the energy in the fifth record?
  -2.070 eV per atom